# 1
The following is a GGA-PBE calculation of a relaxed structure of GeBF3, from Alexandria.

Structure (POSCAR):
```
GeBF3
1.0
3.918 0.000 0.000
0.000 3.918 0.000
0.000 0.000 3.918
Ge B F
1 1 3
Direct
0.000 0.000 0.000 Ge
0.500 0.500 0.500 B
0.000 0.500 0.500 F
0.500 0.000 0.500 F
0.500 0.500 0.000 F
```

Computed properties:
Space-group type ... No. 221
Calculated total energy ... -3.961 eV per atom

# 2
The following is a GGA-PBE calculation of a relaxed structure of TaBe2Cu2, from Alexandria.

Structure (POSCAR):
```
TaBe2Cu2
1.0
6.770 0.000 0.000
0.000 6.770 0.000
0.000 0.000 2.550
Ta Be Cu
2 4 4
Direct
0.000 0.000 0.000 Ta
0.500 0.500 0.000 Ta
0.123 0.377 0.000 Be
0.377 0.877 0.000 Be
0.623 0.123 0.000 Be
0.877 0.623 0.000 Be
0.169 0.669 0.500 Cu
0.331 0.169 0.500 Cu
0.669 0.831 0.500 Cu
0.831 0.331 0.500 Cu
```

Computed properties:
Space-group type ... No. 127
Energy of formation ... 0.2 eV per formula unit

# 3
The following is a GGA-PBE calculation of a relaxed structure of CeMg2Bi, from Alexandria.

Structure (POSCAR):
```
CeMg2Bi
1.0
1.658 0.958 11.820
-1.658 0.958 11.820
0.000 -1.915 11.820
Ce Mg Bi
1 2 1
Direct
0.000 0.000 0.000 Ce
0.090 0.090 0.090 Mg
0.910 0.910 0.910 Mg
0.500 0.500 0.500 Bi
```

Computed properties:
Space-group type ... No. 166
Energy of formation ... 0.7 eV per formula unit

# 4
The following is a GGA-PBE calculation of a relaxed structure of CuSbI2O, from Alexandria.

Structure (POSCAR):
```
CuSbI2O
1.0
5.181 0.000 0.000
0.000 5.181 0.000
0.000 0.000 5.171
Cu Sb I O
1 1 2 1
Direct
0.000 0.000 0.000 Cu
0.000 0.000 0.500 Sb
0.000 0.500 0.000 I
0.500 0.000 0.000 I
0.500 0.500 0.500 O
```

Computed properties:
Space-group type ... No. 123
Calculated total energy ... -2.404 eV per atom

# 5
The following is a GGA-PBE calculation of a relaxed structure of Ag2Ge2Au7, from Alexandria.

Structure (POSCAR):
```
Ag2Ge2Au7
1.0
6.564 -4.441 0.000
6.564 4.441 0.000
-1.013 0.000 3.518
Ag Ge Au
2 2 7
Direct
0.195 0.195 0.194 Ag
0.805 0.805 0.806 Ag
0.250 0.750 0.000 Ge
0.750 0.250 0.000 Ge
0.000 0.000 0.500 Au
0.087 0.593 0.341 Au
0.379 0.379 0.877 Au
0.407 0.913 0.659 Au
0.593 0.087 0.341 Au
0.621 0.621 0.123 Au
0.913 0.407 0.659 Au
```

Computed properties:
Space-group type ... No. 12
Energy of formation ... 0.3 eV per formula unit

# 6
The following is a GGA-PBE calculation of a relaxed structure of Nb2RhS, from Alexandria.

Structure (POSCAR):
```
Nb2RhS
1.0
1.493 0.862 8.783
-1.493 0.862 8.783
0.000 -1.724 8.783
Nb Rh S
2 1 1
Direct
0.094 0.094 0.094 Nb
0.906 0.906 0.906 Nb
0.000 0.000 0.000 Rh
0.500 0.500 0.500 S
```

Computed properties:
Space-group type ... No. 166
Calculated total energy ... -7.903 eV per atom

# 7
The following is a GGA-PBE calculation of a relaxed structure of K3Hg5Au2, from Alexandria.

Structure (POSCAR):
```
K3Hg5Au2
1.0
6.206 -7.345 0.000
6.206 7.345 0.000
-5.850 0.000 7.040
K Hg Au
6 10 4
Direct
0.006 0.994 0.750 K
0.127 0.407 0.767 K
0.407 0.127 0.267 K
0.593 0.873 0.733 K
0.873 0.593 0.233 K
0.994 0.006 0.250 K
0.242 0.758 0.750 Hg
0.258 0.464 0.424 Hg
0.258 0.742 0.250 Hg
0.464 0.258 0.924 Hg
0.465 0.535 0.250 Hg
0.535 0.465 0.750 Hg
0.536 0.742 0.076 Hg
0.742 0.258 0.750 Hg
0.742 0.536 0.576 Hg
0.758 0.242 0.250 Hg
0.053 0.752 0.928 Au
0.248 0.947 0.572 Au
0.752 0.053 0.428 Au
0.947 0.248 0.072 Au
```

Computed properties:
Space-group type ... No. 15
Energy of formation ... -2.2 eV per formula unit

# 8
The following is a GGA-PBE calculation of a relaxed structure of Cd12Ga5Sn3, from Alexandria.

Structure (POSCAR):
```
Cd12Ga5Sn3
1.0
-8.249 8.249 8.249
8.249 -8.249 8.249
8.249 8.249 -8.249
Cd Ga Sn
48 20 12
Direct
0.054 0.224 0.129 Cd
0.054 0.330 0.926 Cd
0.074 0.629 0.405 Cd
0.074 0.946 0.670 Cd
0.095 0.724 0.670 Cd
0.095 0.871 0.426 Cd
0.129 0.054 0.224 Cd
0.129 0.574 0.905 Cd
0.170 0.224 0.595 Cd
0.170 0.446 0.574 Cd
0.224 0.129 0.054 Cd
0.224 0.595 0.170 Cd
0.276 0.330 0.905 Cd
0.276 0.446 0.371 Cd
0.330 0.905 0.276 Cd
0.330 0.926 0.054 Cd
0.371 0.276 0.446 Cd
0.371 0.595 0.926 Cd
0.405 0.074 0.629 Cd
0.405 0.830 0.776 Cd
0.426 0.095 0.871 Cd
0.426 0.830 0.554 Cd
0.446 0.371 0.276 Cd
0.446 0.574 0.170 Cd
0.554 0.426 0.830 Cd
0.554 0.629 0.724 Cd
0.574 0.170 0.446 Cd
0.574 0.905 0.129 Cd
0.595 0.170 0.224 Cd
0.595 0.926 0.371 Cd
0.629 0.405 0.074 Cd
0.629 0.724 0.554 Cd
0.670 0.074 0.946 Cd
0.670 0.095 0.724 Cd
0.724 0.554 0.629 Cd
0.724 0.670 0.095 Cd
0.776 0.405 0.830 Cd
0.776 0.871 0.946 Cd
0.830 0.554 0.426 Cd
0.830 0.776 0.405 Cd
0.871 0.426 0.095 Cd
0.871 0.946 0.776 Cd
0.905 0.129 0.574 Cd
0.905 0.276 0.330 Cd
0.926 0.054 0.330 Cd
0.926 0.371 0.595 Cd
0.946 0.670 0.074 Cd
0.946 0.776 0.871 Cd
0.000 0.000 0.000 Ga
0.000 0.000 0.500 Ga
0.000 0.500 0.000 Ga
0.000 0.500 0.500 Ga
0.125 0.750 0.875 Ga
0.125 0.875 0.250 Ga
0.250 0.125 0.875 Ga
0.250 0.625 0.375 Ga
0.375 0.250 0.625 Ga
0.375 0.625 0.750 Ga
0.500 0.000 0.000 Ga
0.500 0.000 0.500 Ga
0.500 0.500 0.000 Ga
0.500 0.500 0.500 Ga
0.625 0.375 0.250 Ga
0.625 0.750 0.375 Ga
0.750 0.375 0.625 Ga
0.750 0.875 0.125 Ga
0.875 0.125 0.750 Ga
0.875 0.250 0.125 Ga
0.125 0.250 0.375 Sn
0.125 0.375 0.750 Sn
0.250 0.375 0.125 Sn
0.250 0.875 0.625 Sn
0.375 0.125 0.250 Sn
0.375 0.750 0.125 Sn
0.625 0.250 0.875 Sn
0.625 0.875 0.750 Sn
0.750 0.125 0.375 Sn
0.750 0.625 0.875 Sn
0.875 0.625 0.250 Sn
0.875 0.750 0.625 Sn
```

Computed properties:
Space-group type ... No. 230
Energy of formation ... 4.1 eV per formula unit

# 9
The following is a GGA-PBE calculation of a relaxed structure of KLiHgF2, from Alexandria.

Structure (POSCAR):
```
KLiHgF2
1.0
4.803 0.000 0.000
0.000 4.803 0.000
0.000 0.000 5.150
K Li Hg F
1 1 1 2
Direct
0.000 0.000 0.000 K
0.000 0.000 0.500 Li
0.500 0.500 0.500 Hg
0.000 0.500 0.000 F
0.500 0.000 0.000 F
```

Computed properties:
Space-group type ... No. 123
Calculated total energy ... -2.672 eV per atom

# 10
The following is a GGA-PBE calculation of a relaxed structure of SnAs2Pd7Pb2, from Alexandria.

Structure (POSCAR):
```
SnAs2Pd7Pb2
1.0
2.854 -2.850 0.000
2.854 2.850 0.000
-1.556 0.000 14.449
Sn As Pd Pb
1 2 7 2
Direct
0.000 0.000 0.000 Sn
0.431 0.431 0.755 As
0.569 0.569 0.245 As
0.041 0.541 0.143 Pd
0.392 0.392 0.582 Pd
0.459 0.959 0.857 Pd
0.500 0.500 0.000 Pd
0.541 0.041 0.143 Pd
0.608 0.608 0.418 Pd
0.959 0.459 0.857 Pd
0.113 0.113 0.395 Pb
0.887 0.887 0.605 Pb
```

Computed properties:
Space-group type ... No. 12
Energy of formation ... -4.1 eV per formula unit

# 11
The following is a GGA-PBE calculation of a relaxed structure of Pu3Te2N, from Alexandria.

Structure (POSCAR):
```
Pu3Te2N
1.0
6.567 -3.105 0.000
6.567 3.105 0.000
-2.096 0.000 7.680
Pu Te N
6 4 2
Direct
0.055 0.945 0.750 Pu
0.360 0.399 0.400 Pu
0.399 0.360 0.900 Pu
0.601 0.640 0.100 Pu
0.640 0.601 0.600 Pu
0.945 0.055 0.250 Pu
0.165 0.202 0.078 Te
0.202 0.165 0.578 Te
0.798 0.835 0.422 Te
0.835 0.798 0.922 Te
0.410 0.590 0.750 N
0.590 0.410 0.250 N
```

Computed properties:
Space-group type ... No. 15
Calculated total energy ... -10.580 eV per atom

# 12
The following is a GGA-PBE calculation of a relaxed structure of Ac2Ge3Pt4, from Alexandria.

Structure (POSCAR):
```
Ac2Ge3Pt4
1.0
3.034 -7.972 0.000
3.034 7.972 0.000
0.000 0.000 7.646
Ac Ge Pt
4 6 8
Direct
0.109 0.891 0.908 Ac
0.391 0.609 0.408 Ac
0.609 0.391 0.592 Ac
0.891 0.109 0.092 Ac
0.000 0.000 0.500 Ge
0.020 0.480 0.750 Ge
0.480 0.020 0.250 Ge
0.500 0.500 0.000 Ge
0.520 0.980 0.750 Ge
0.980 0.520 0.250 Ge
0.181 0.819 0.519 Pt
0.186 0.314 0.750 Pt
0.314 0.186 0.250 Pt
0.319 0.681 0.019 Pt
0.681 0.319 0.981 Pt
0.686 0.814 0.750 Pt
0.814 0.686 0.250 Pt
0.819 0.181 0.481 Pt
```

Computed properties:
Space-group type ... No. 64
Energy of formation ... -7.4 eV per formula unit